The following is a PBE-GGA calculation of a relaxed structure of Tb2Mg5, from the Alexandria database.

Geometry as extended XYZ:
```
14
Lattice="-4.388 0.343 -4.981 -4.292 -5.611 3.394 0.705 7.557 4.334" Properties=species:S:1:pos:R:3 pbc="T T T"
Mg -5.437 -2.548 -2.039
Mg -0.876 2.585 3.167
Mg -7.099 -0.297 -0.419
Mg -3.069 2.757 0.676
Mg -5.984 2.298 0.994
Mg -4.906 -0.469 2.071
Mg -6.443 -2.791 1.049
Mg -1.531 5.079 1.699
Mg -1.991 -0.010 1.753
Mg -3.243 -2.720 0.452
Tb -3.634 0.116 -1.226
Tb -4.341 2.172 3.973
Tb -3.750 5.984 -0.720
Tb -4.225 -3.696 3.467
```

E = -2.458 eV per atom
E_form = 4 meV/atom
SG = No. 72
Theoretical density = 4.0 Mg/m³